# 1
VASP calculation (PBE-GGA) on a geometry-optimized Cs4SnCl6 structure.

Summary:
Formation energy without anion corrections (eV/f.u.): -19.2

a = 9.5618 Å, b = 9.5618 Å, c = 9.5618 Å
α = 90.80°, β = 90.80°, γ = 89.20°
With the nearest neighbours (Å) after each atom.
Sites, in units of the cell vectors:
Cl  0.5606  0.2135  0.5730  1 Sn 2.89
Cl  0.5730  0.4394  0.2135  1 Sn 2.89
Cl  0.0730  0.2865  0.0606  1 Sn 2.89
Cl  0.2135  0.4270  0.4394  1 Sn 2.89
Cl  0.4270  0.5606  0.7865  1 Sn 2.89
Cl  0.4394  0.7865  0.4270  1 Sn 2.89
Cl  0.7135  0.0606  0.0730  1 Sn 2.89
Cl  0.9394  0.0730  0.7135  1 Sn 2.89
Cl  0.2865  0.9394  0.9270  1 Sn 2.89
Cl  0.0606  0.9270  0.2865  1 Sn 2.89
Cl  0.7865  0.5730  0.5606  1 Sn 2.89
Cl  0.9270  0.7135  0.9394  1 Sn 2.89
Cs  0.7500  0.3774  0.8774  8 Cl 3.61-3.74
Cs  0.6226  0.8774  0.7500  8 Cl 3.61-3.74
Cs  0.1226  0.7500  0.6226  8 Cl 3.61-3.74
Cs  0.3774  0.1226  0.2500  8 Cl 3.61-3.74
Cs  0.8774  0.2500  0.3774  8 Cl 3.61-3.74
Cs  0.7500  0.7500  0.2500  6 Cl 3.45
Cs  0.2500  0.6226  0.1226  8 Cl 3.61-3.74
Cs  0.2500  0.2500  0.7500  6 Cl 3.45
Sn  0.0000  0.0000  0.0000  6 Cl 2.89
Sn  0.5000  0.5000  0.5000  6 Cl 2.89

# 2
VASP calculation (PBE-GGA) on a geometry-optimized Cs3SnCl7 structure.

Summary:
Formation energy without anion corrections (eV/f.u.): -17.3

a = 7.4295 Å, b = 10.3818 Å, c = 10.3818 Å
α = 90.00°, β = 90.00°, γ = 90.00°
With the nearest neighbours (Å) after each atom.
Sites, in units of the cell vectors:
Cl  0.0000  0.1677  0.6677  1 Sn 2.46
Cl  0.2387  0.3825  0.8825  1 Sn 2.47
Cl  0.7613  0.3825  0.8825  1 Sn 2.47
Cl  0.2387  0.1175  0.3825  1 Sn 2.47
Cl  0.7613  0.6175  0.1175  1 Sn 2.47
Cl  0.0000  0.3323  0.1677  1 Sn 2.46
Cl  0.5000  0.0000  0.0000  6 Cs 3.71-3.81
Cl  0.7613  0.8825  0.6175  1 Sn 2.47
Cl  0.0000  0.8323  0.3323  1 Sn 2.46
Cl  0.2387  0.8825  0.6175  1 Sn 2.47
Cl  0.2387  0.6175  0.1175  1 Sn 2.47
Cl  0.7613  0.1175  0.3825  1 Sn 2.47
Cl  0.0000  0.6677  0.8323  1 Sn 2.46
Cl  0.5000  0.5000  0.5000  6 Cs 3.71-3.81
Cs  0.0000  0.5000  0.5000  6 Cl 3.71-3.86
Cs  0.0000  0.0000  0.0000  6 Cl 3.71-3.86
Cs  0.5000  0.3204  0.1796  10 Cl 3.56-3.81
Cs  0.5000  0.8204  0.3204  10 Cl 3.56-3.81
Cs  0.5000  0.6796  0.8204  10 Cl 3.56-3.81
Cs  0.5000  0.1796  0.6796  10 Cl 3.56-3.81
Sn  0.0000  0.0000  0.5000  6 Cl 2.46-2.47
Sn  0.0000  0.5000  0.0000  6 Cl 2.46-2.47

# 3
VASP calculation (PBE-GGA) on a geometry-optimized CsSn3Cl8 structure.

Summary:
Formation energy without anion corrections (eV/f.u.): -13.6

a = 5.3760 Å, b = 10.3355 Å, c = 9.2556 Å
α = 116.98°, β = 106.63°, γ = 75.11°
With the nearest neighbours (Å) after each atom.
Sites, in units of the cell vectors:
Cs  0.2071  0.8028  0.7208  7 Cl 3.59-3.68
Cl  0.6570  0.2379  0.0636  2 Sn 2.67-2.68
Cl  0.9857  0.2873  0.7628  2 Sn 2.70
Cl  0.6977  0.5760  0.4723  1 Sn 2.54
Cl  0.4356  0.5842  0.9569  2 Sn 2.67-2.73
Cl  0.5580  0.9864  0.6036  2 Sn 2.76-2.82
Cl  0.3237  0.3546  0.5038  3 Sn 2.83-2.88
Cl  0.0120  0.7688  0.2920  2 Sn 2.71
Cl  0.3433  0.9853  0.1659  1 Sn 2.48
Sn  0.4977  0.2922  0.7927  6 Cl 2.67-2.88
Sn  0.4913  0.7933  0.2748  5 Cl 2.48-2.76
Sn  0.7891  0.3008  0.3874  3 Cl 2.54-2.83

# 4
VASP calculation (PBE-GGA) on a geometry-optimized Cs4Sn2Cl structure.

Summary:
Formation energy without anion corrections (eV/f.u.): -3.9

a = 7.4589 Å, b = 7.4589 Å, c = 10.0304 Å
α = 68.17°, β = 68.17°, γ = 90.00°
With the nearest neighbours (Å) after each atom.
Sites, in units of the cell vectors:
Sn  0.5798  0.5798  0.8404  1 Sn 2.72
Sn  0.4202  0.4202  0.1596  1 Sn 2.72
Cl  0.0000  0.0000  0.0000  2 Cs 3.31
Cs  0.5000  0.0000  0.0000  2 Cl 3.73, 4 Sn 3.97
Cs  0.1942  0.1942  0.6117  1 Cl 3.31
Cs  0.0000  0.5000  0.0000  2 Cl 3.73, 4 Sn 3.97
Cs  0.8058  0.8058  0.3883  1 Cl 3.31

# 5
VASP calculation (PBE-GGA) on a geometry-optimized Cs3Sn2Cl8 structure.

Summary:
Formation energy without anion corrections (eV/f.u.): -18.5

a = 8.2216 Å, b = 8.2216 Å, c = 10.0395 Å
α = 65.83°, β = 65.83°, γ = 60.00°
With the nearest neighbours (Å) after each atom.
Sites, in units of the cell vectors:
Cl  0.7425  0.1957  0.3193  1 Sn 2.60
Cl  0.2575  0.2575  0.6807  1 Sn 2.60
Cl  0.6538  0.6538  0.0386  1 Sn 2.49
Cl  0.1957  0.7425  0.3193  1 Sn 2.60
Cl  0.2575  0.8043  0.6807  1 Sn 2.60
Cl  0.8043  0.2575  0.6807  1 Sn 2.60
Cl  0.3462  0.3462  0.9614  1 Sn 2.49
Cl  0.7425  0.7425  0.3193  1 Sn 2.60
Sn  0.5600  0.5600  0.3199  4 Cl 2.49-2.60
Sn  0.4400  0.4400  0.6801  4 Cl 2.49-2.60
Cs  0.2142  0.2142  0.3575  4 Cl 3.50-3.58
Cs  0.7858  0.7858  0.6425  4 Cl 3.50-3.58
Cs  0.0000  0.0000  0.0000  6 Cl 3.55

# 6
VASP calculation (PBE-GGA) on a geometry-optimized Cs2SnCl structure.

Summary:
Offset from the most stable computed form (meV/atom): 0
Formation energy without anion corrections (eV/f.u.): -2.6

a = 8.6944 Å, b = 8.6944 Å, c = 8.6944 Å
α = 112.33°, β = 112.33°, γ = 103.90°
With the nearest neighbours (Å) after each atom.
Sites, in units of the cell vectors:
Sn  0.7500  0.2500  0.5000  4 Cs 4.03
Sn  0.0000  0.0000  0.0000  4 Cs 4.03
Cs  0.5720  0.6250  0.4470  2 Cl 3.36
Cs  0.8750  0.4280  0.0530  2 Cl 3.36
Cs  0.3750  0.8220  0.9470  2 Cl 3.36
Cs  0.1780  0.1250  0.5530  2 Cl 3.36
Cl  0.5000  0.5000  0.0000  4 Cs 3.36
Cl  0.2500  0.7500  0.5000  4 Cs 3.36

Respective total moment values: 0.0 0.1 0.0 0.8 0.0 3.0 μB/f.u..